1.
NdDyZn3: relaxed, PBE.

Lattice parameters (Å, degrees): 14.4483 4.8662 6.4420 90.00 99.63 90.00
Space group C2/m (No. 12)
Inequivalent atoms, fractional coordinates:
Nd  0.1116  0.0000  0.4548 x4
Dy  0.1790  0.5000  0.1060 x4
Zn  0.0177  0.5000  0.7166 x4
Zn  0.0759  0.0000  0.9111 x4
Zn  0.2013  0.5000  0.6609 x4

Computed properties:
E_form (eV per atom): -0.232
Calculated volume (A^3/atom): 22.3

2.
AsPd2Rh2: relaxed, PBE.

Lattice parameters (Å, degrees): 6.1756 6.1756 4.2308 90.00 90.00 90.00
Space group P4/mbm (No. 127)
Inequivalent atoms, fractional coordinates:
As  0.0000  0.0000  0.0000 x2
Pd  0.1641  0.3359  0.5000 x4
Rh  0.1465  0.6465  0.0000 x4

Computed properties:
E_form (eV per atom): -0.012
Calculated volume (A^3/atom): 16.1